Entry 1:
First-principles (meta-GGA SCAN) data for a crystal of BePb2Au relaxed with PBEsol, as listed in Alexandria via LeMat-Bulk.

Its density of states at the Fermi level is 0.27 states/eV/atom. Its density is 11.165 Mg/m³. The calculation puts the energy at -56.357 eV per atom.

Cell: 7.0318 4.0441 6.8935 Å, 90.00 109.72 90.00°
Last column: nearest neighbours and their distance in Å.
Element x y z (fractional)
Be 0.0000 0.0000 0.0000  3 Au 2.34
Be 0.5000 0.5000 0.0000  3 Au 2.34
Pb 0.2416 0.0000 0.7194  3 Be 2.96-2.97, 3 Au 2.98
Pb 0.4292 0.0000 0.2876  3 Au 2.97-2.98, 3 Be 2.99-3.00
Pb 0.7416 0.5000 0.7194  3 Be 2.96-2.97, 3 Au 2.98
Pb 0.9292 0.5000 0.2876  3 Au 2.97-2.98, 3 Be 2.99-3.00
Au 0.1685 0.5000 0.0043  3 Be 2.34
Au 0.6685 0.0000 0.0043  3 Be 2.34

Entry 2:
First-principles (meta-GGA SCAN) data for a crystal of BePb2Au relaxed with PBEsol, as listed in Alexandria via LeMat-Bulk.

Its density of states at the Fermi level is 0.39 states/eV/atom. Its density is 11.920 Mg/m³. The calculation puts the energy at -55.844 eV per atom.

Cell: 6.6382 7.5060 3.4691 Å, 90.00 90.00 90.00°
Last column: nearest neighbours and their distance in Å.
Element x y z (fractional)
Be 0.0000 0.0000 0.0000  8 Pb 3.05, 2 Au 3.32
Be 0.5000 0.5000 0.0000  8 Pb 3.05, 2 Au 3.32
Pb 0.2500 0.2500 0.5000  4 Be 3.05, 4 Au 3.05, 2 Pb 3.32
Pb 0.2500 0.7500 0.5000  4 Be 3.05, 4 Au 3.05, 2 Pb 3.32
Pb 0.7500 0.2500 0.5000  4 Be 3.05, 4 Au 3.05, 2 Pb 3.32
Pb 0.7500 0.7500 0.5000  4 Be 3.05, 4 Au 3.05, 2 Pb 3.32
Au 0.0000 0.5000 0.0000  8 Pb 3.05, 2 Be 3.32
Au 0.5000 0.0000 0.0000  8 Pb 3.05, 2 Be 3.32

Entry 3:
First-principles (meta-GGA SCAN) data for a crystal of BePbAu relaxed with PBEsol, as listed in Alexandria via LeMat-Bulk.

Its density of states at the Fermi level is 0.30 states/eV/atom. Its density is 11.125 Mg/m³. The calculation puts the energy at -49.566 eV per atom.

Cell: 6.2716 6.2716 6.2716 Å, 90.00 90.00 90.00°
Last column: nearest neighbours and their distance in Å.
Element x y z (fractional)
Be 0.0000 0.0000 0.0000  4 Au 2.72
Be 0.0000 0.5000 0.5000  4 Au 2.72
Be 0.5000 0.0000 0.5000  4 Au 2.72
Be 0.5000 0.5000 0.0000  4 Au 2.72
Pb 0.0000 0.0000 0.5000  4 Au 2.72
Pb 0.0000 0.5000 0.0000  4 Au 2.72
Pb 0.5000 0.0000 0.0000  4 Au 2.72
Pb 0.5000 0.5000 0.5000  4 Au 2.72
Au 0.2500 0.2500 0.7500  4 Pb 2.72, 4 Be 2.72
Au 0.2500 0.7500 0.2500  4 Be 2.72, 4 Pb 2.72
Au 0.7500 0.2500 0.2500  4 Be 2.72, 4 Pb 2.72
Au 0.7500 0.7500 0.7500  4 Pb 2.72, 4 Be 2.72

Entry 4:
First-principles (meta-GGA SCAN) data for a crystal of Be2PbAu relaxed with PBEsol, as listed in Alexandria via LeMat-Bulk.

Its density of states at the Fermi level is 0.24 states/eV/atom. Its density is 10.645 Mg/m³. The calculation puts the energy at -38.233 eV per atom.

Cell: 3.1015 3.1015 6.8462 Å, 90.00 90.00 90.00°
Last column: nearest neighbours and their distance in Å.
Element x y z (fractional)
Be 0.0000 0.0000 0.1669  1 Be 2.29, 4 Au 2.47
Be 0.0000 0.0000 0.8331  1 Be 2.29, 4 Au 2.47
Pb 0.5000 0.5000 0.5000  4 Pb 3.10, 8 Be 3.16, 2 Au 3.42
Au 0.5000 0.5000 0.0000  8 Be 2.47

Entry 5:
First-principles (meta-GGA SCAN) data for a crystal of BePdAu2 relaxed with PBEsol, as listed in Alexandria via LeMat-Bulk.

Its density of states at the Fermi level is 0.21 states/eV/atom. Its density is 14.151 Mg/m³. The calculation puts the energy at -44.009 eV per atom.

Cell: 6.8349 6.8349 5.1176 Å, 90.00 90.00 90.00°
Last column: nearest neighbours and their distance in Å.
Element x y z (fractional)
Be 0.0000 0.0000 0.0000  4 Au 2.26
Be 0.0000 0.5000 0.2500  4 Au 2.26
Be 0.5000 0.0000 0.7500  4 Au 2.26
Be 0.5000 0.5000 0.5000  4 Au 2.26
Pd 0.0000 0.0000 0.5000  2 Be 2.56, 4 Au 2.76
Pd 0.0000 0.5000 0.7500  2 Be 2.56, 4 Au 2.76
Pd 0.5000 0.0000 0.2500  2 Be 2.56, 4 Au 2.76
Pd 0.5000 0.5000 0.0000  2 Be 2.56, 4 Au 2.76
Au 0.1962 0.7500 0.1250  2 Be 2.26
Au 0.2500 0.1962 0.8750  2 Be 2.26
Au 0.2500 0.3038 0.3750  2 Be 2.26
Au 0.3038 0.7500 0.6250  2 Be 2.26
Au 0.6962 0.2500 0.6250  2 Be 2.26
Au 0.7500 0.6962 0.3750  2 Be 2.26
Au 0.7500 0.8038 0.8750  2 Be 2.26
Au 0.8038 0.2500 0.1250  2 Be 2.26

Entry 6:
First-principles (meta-GGA SCAN) data for a crystal of BePt2Au relaxed with PBEsol, as listed in Alexandria via LeMat-Bulk.

Its density of states at the Fermi level is 0.71 states/eV/atom. Its density is 17.310 Mg/m³. The calculation puts the energy at -53.574 eV per atom.

Cell: 3.9138 3.9138 7.4670 Å, 90.00 90.00 90.00°
Last column: nearest neighbours and their distance in Å.
Element x y z (fractional)
Be 0.0000 0.0000 0.0000  8 Pt 2.70-2.77, 4 Au 2.70
Be 0.5000 0.5000 0.5000  8 Pt 2.70-2.77, 4 Au 2.70
Pt 0.0000 0.0000 0.5000  4 Pt 2.70, 4 Au 2.70, 4 Be 2.77
Pt 0.0000 0.5000 0.2500  4 Be 2.70, 4 Pt 2.70, 4 Au 2.77
Pt 0.5000 0.0000 0.7500  4 Be 2.70, 4 Pt 2.70, 4 Au 2.77
Pt 0.5000 0.5000 0.0000  4 Pt 2.70, 4 Au 2.70, 4 Be 2.77
Au 0.0000 0.5000 0.7500  4 Be 2.70, 8 Pt 2.70-2.77
Au 0.5000 0.0000 0.2500  4 Be 2.70, 8 Pt 2.70-2.77

Number 5 is which compound? BePdAu2

density of number 4 (Be2PbAu)? 10.645 Mg/m³

What is the formula in the first record? BePb2Au